1.
Computed, not measured: a geometry-optimized Se2I4Br3 structure at the PBE-GGA level of DFT.

## Properties
DOS(E_F)   5.7 states/eV per cell
SG   C2/c (15)
ρ   3.2 g cm⁻³
Magnetic moment   1.7 μB per cell
Energy relative to the elements, uncorrected   0.07 eV per atom

Cell: 23.9965 8.4012 11.3512 Å, 111.72 33.57 90.00°
Last column: magnetic moment on the atom in μB.
Fractional coordinates of all 18 atoms:
I (0.7340, 0.7367, 0.3970)  0.01
I (0.4438, 0.6370, 0.8856)  0.01
I (0.9438, 0.2486, 0.8856)  0.01
I (0.5562, 0.3630, 0.1144)  0.01
I (0.7660, 0.3396, 0.6030)  0.01
I (0.0562, 0.7514, 0.1144)  0.01
I (0.2660, 0.2633, 0.6030)  0.01
I (0.2340, 0.6604, 0.3970)  0.01
Br (0.4533, 0.8534, 0.1567)  0.00
Br (0.9533, 0.3032, 0.1567)  0.00
Br (0.0467, 0.6968, 0.8433)  0.00
Br (0.7500, 0.5992, 0.0000)  0.18
Br (0.5467, 0.1466, 0.8433)  0.00
Br (0.2500, 0.4008, 0.0000)  0.18
Se (0.9510, 0.1924, 0.6278)  0.17
Se (0.4510, 0.4354, 0.6278)  0.17
Se (0.0490, 0.8076, 0.3722)  0.17
Se (0.5490, 0.5646, 0.3722)  0.17

2.
Computed, not measured: a geometry-optimized MnAlSn3 structure at the PBE-GGA level of DFT.

## Properties
DOS(E_F)   3.3 states/eV per cell
ΔH_f (0 K)   756 meV/atom
SG   Pm-3m (221)
ρ   5.0 g cm⁻³
Magnetic moment   4.5 μB per cell

Cell: 5.2768 5.2768 5.2768 Å, 90.00 90.00 90.00°
Last column: magnetic moment on the atom in μB.
Fractional coordinates of all 5 atoms:
Sn (0.0000, 0.0000, 0.5000)  -0.04
Sn (0.0000, 0.5000, 0.0000)  -0.07
Sn (0.5000, 0.0000, 0.0000)  -0.03
Mn (0.5000, 0.5000, 0.5000)  4.37
Al (0.0000, 0.0000, 0.0000)  0.00

3.
Computed, not measured: a geometry-optimized CaSmCdRu structure at the PBE-GGA level of DFT.

## Properties
DOS(E_F)   3.1 states/eV per cell
ΔH_f (0 K)   -77 meV/atom
SG   F-43m (216)
ρ   7.1 g cm⁻³
Magnetic moment   0.0 μB per cell

Cell: 5.1059 5.1059 5.1059 Å, 60.00 60.00 60.00°
Fractional coordinates of all 4 atoms:
Cd (0.2500, 0.2500, 0.2500)
Ru (0.7500, 0.7500, 0.7500)
Ca (0.5000, 0.5000, 0.5000)
Sm (0.0000, 0.0000, 0.0000)

4.
Computed, not measured: a geometry-optimized Co2Ru structure at the PBE-GGA level of DFT.

## Properties
DOS(E_F)   6.9 states/eV per cell
ΔH_f (0 K)   123 meV/atom
SG   C2/m (12)
ρ   10.2 g cm⁻³
Magnetic moment   5.0 μB per cell

Cell: 4.8233 4.8233 6.0648 Å, 75.98 75.98 31.46°
Last column: magnetic moment on the atom in μB.
Fractional coordinates of all 6 atoms:
Co (0.6374, 0.6374, 0.9724)  1.41
Co (0.0280, 0.0280, 0.7024)  1.12
Co (0.9720, 0.9720, 0.2976)  1.12
Co (0.3626, 0.3626, 0.0276)  1.41
Ru (0.3085, 0.3085, 0.6416)  -0.01
Ru (0.6915, 0.6915, 0.3584)  -0.01

5.
Computed, not measured: a geometry-optimized CsKTl2Ag structure at the PBE-GGA level of DFT.

## Properties
DOS(E_F)   3.7 states/eV per cell
ΔH_f (0 K)   127 meV/atom
SG   P4/mmm (123)
ρ   5.2 g cm⁻³
Magnetic moment   0.0 μB per cell

Cell: 5.7873 5.7873 6.5820 Å, 90.00 90.00 90.00°
Fractional coordinates of all 5 atoms:
Tl (0.5000, 0.0000, 0.0000)
Tl (0.0000, 0.5000, 0.0000)
Ag (0.0000, 0.0000, 0.0000)
Cs (0.0000, 0.0000, 0.5000)
K (0.5000, 0.5000, 0.5000)

6.
Computed, not measured: a geometry-optimized YTlCd2 structure at the PBE-GGA level of DFT.

## Properties
DOS(E_F)   0.4 states/eV per cell
ΔH_f (0 K)   -133 meV/atom
SG   Fm-3m (225)
ρ   8.5 g cm⁻³
Magnetic moment   0.0 μB per cell

Cell: 5.2317 5.2317 5.2317 Å, 60.00 60.00 60.00°
Fractional coordinates of all 4 atoms:
Cd (0.2500, 0.2500, 0.2500)
Cd (0.7500, 0.7500, 0.7500)
Y (0.0000, 0.0000, 0.0000)
Tl (0.5000, 0.5000, 0.5000)

7.
Computed, not measured: a geometry-optimized CeGaO2 structure at the PBE-GGA level of DFT.

## Properties
DOS(E_F)   4.8 states/eV per cell
SG   P4/mmm (123)
ρ   7.2 g cm⁻³
Magnetic moment   1.0 μB per cell
Energy relative to the elements, uncorrected   -2.04 eV per atom

Cell: 3.2992 4.1014 4.1073 Å, 90.00 90.00 90.00°
Last column: magnetic moment on the atom in μB.
Fractional coordinates of all 4 atoms:
O (0.0000, 0.0000, 0.5000)  -0.02
O (0.0000, 0.5000, 0.0000)  -0.02
Ce (0.5000, 0.5000, 0.5000)  0.96
Ga (0.0000, 0.0000, 0.0000)  -0.01

8.
Computed, not measured: a geometry-optimized BeP2NCl structure at the PBE-GGA level of DFT.

## Properties
DOS(E_F)   3.1 states/eV per cell
SG   P4/mmm (123)
ρ   2.4 g cm⁻³
Magnetic moment   0.0 μB per cell
Energy relative to the elements, uncorrected   1.05 eV per atom

Cell: 3.6611 3.6611 6.2755 Å, 90.00 90.00 90.00°
Fractional coordinates of all 5 atoms:
N (0.0000, 0.0000, 0.0000)
Be (0.5000, 0.5000, 0.5000)
P (0.5000, 0.0000, 0.0000)
P (0.0000, 0.5000, 0.0000)
Cl (0.0000, 0.0000, 0.5000)

9.
Computed, not measured: a geometry-optimized Co2Tc structure at the PBE-GGA level of DFT.

## Properties
DOS(E_F)   15.2 states/eV per cell
ΔH_f (0 K)   89 meV/atom
SG   I4_1/amd (141)
ρ   10.1 g cm⁻³
Magnetic moment   2.7 μB per cell

Cell: 3.6254 3.6254 11.0591 Å, 99.43 99.43 90.00°
Last column: magnetic moment on the atom in μB.
Fractional coordinates of all 12 atoms:
Co (0.5823, 0.5823, 0.1646)  0.18
Co (0.7485, 0.7485, 0.4971)  0.51
Co (0.6677, 0.1677, 0.3354)  0.18
Co (0.8323, 0.3323, 0.6646)  0.18
Co (0.9985, 0.4985, 0.9971)  0.51
Co (0.2515, 0.2515, 0.5029)  0.51
Co (0.5015, 0.0015, 0.0029)  0.51
Co (0.4177, 0.4177, 0.8354)  0.18
Tc (0.9171, 0.9171, 0.8342)  -0.01
Tc (0.0829, 0.0829, 0.1658)  -0.01
Tc (0.3329, 0.8329, 0.6658)  -0.01
Tc (0.1671, 0.6671, 0.3342)  -0.01

10.
Computed, not measured: a geometry-optimized FeTc2Pt structure at the PBE-GGA level of DFT.

## Properties
DOS(E_F)   3.8 states/eV per cell
ΔH_f (0 K)   -48 meV/atom
SG   Pmmm (47)
ρ   13.4 g cm⁻³
Magnetic moment   0.1 μB per cell

Cell: 2.6785 3.8241 5.3979 Å, 90.00 90.00 90.00°
Last column: magnetic moment on the atom in μB.
Fractional coordinates of all 4 atoms:
Tc (0.0000, 0.0000, 0.4723)  -0.01
Tc (0.0000, 0.0000, 0.0277)  -0.01
Fe (0.5000, 0.5000, 0.2500)  0.12
Pt (0.5000, 0.5000, 0.7500)  -0.01

Please write out number 5 again, unchanged.
Computed, not measured: a geometry-optimized CsKTl2Ag structure at the PBE-GGA level of DFT.

## Properties
DOS(E_F)   3.7 states/eV per cell
ΔH_f (0 K)   127 meV/atom
SG   P4/mmm (123)
ρ   5.2 g cm⁻³
Magnetic moment   0.0 μB per cell

Cell: 5.7873 5.7873 6.5820 Å, 90.00 90.00 90.00°
Fractional coordinates of all 5 atoms:
Tl (0.5000, 0.0000, 0.0000)
Tl (0.0000, 0.5000, 0.0000)
Ag (0.0000, 0.0000, 0.0000)
Cs (0.0000, 0.0000, 0.5000)
K (0.5000, 0.5000, 0.5000)